Crystalline CsBaGe2Pt at its relaxed geometry. Source: the Alexandria database, functional GGA-PBE.

```
CsBaGe2Pt
1.0
-2.262 -5.547 -1.113
5.371 -2.133 -0.288
-0.134 -1.146 5.983
Ge Ba Cs Pt
2 1 1 1
Direct
0.000 0.000 0.500
0.500 0.000 0.000
0.000 0.000 0.000
0.500 0.500 0.500
0.000 0.500 0.000
```

Output
Formation energy, eV per atom: 0.796
Magnetization, μB/f.u.: 0.000
E, eV per cell: -14.1
N(E_F), states/eV/atom: 1.17